Computed, not measured: AgPbW2 after structural relaxation at the PBE-GGA level of DFT.

Output
space group = Cmmm, No. 65
theoretical density = 15.2 Mg/m³
N(E_F) = 0.882 states/eV/atom
formation enthalpy at 0 K = 1101 meV per atom

Cell lengths 2.8770, 2.8770, 9.5376 Å; angles 90.00, 90.00, 109.04 degrees
Positions (direct):
1 Pb 0.5000 0.5000 0.7500
2 W 0.0000 0.0000 0.4922
3 W 0.0000 0.0000 0.0078
4 Ag 0.5000 0.5000 0.2500

Computed, not measured: AgPbW after structural relaxation at the PBE-GGA level of DFT.

Output
space group = F-43m, No. 216
theoretical density = 11.7 Mg/m³
N(E_F) = 1.241 states/eV/atom
formation enthalpy at 0 K = 1258 meV per atom

Cell lengths 4.6451, 4.6451, 4.6451 Å; angles 60.00, 60.00, 60.00 degrees
Site moments in Bohr magnetons follow the coordinates.
Positions (direct):
1 Pb 0.5000 0.5000 0.5000  -0.04
2 Ag 0.0000 0.0000 0.0000  0.03
3 W 0.7500 0.7500 0.7500  1.43

Computed, not measured: AgPbW2 after structural relaxation at the PBE-GGA level of DFT.

Output
space group = Imm2, No. 44
theoretical density = 14.7 Mg/m³
N(E_F) = 0.693 states/eV/atom
formation enthalpy at 0 K = 869 meV per atom

Cell lengths 5.5289, 5.5289, 5.5289 Å; angles 144.18, 127.99, 64.76 degrees
Positions (direct):
1 Ag 0.5089 0.5089 0.0000
2 W 0.9728 0.9728 0.0000
3 Pb 0.2439 0.7439 0.5000
4 W 0.7744 0.2744 0.5000

Q: What is the N(E_F) in the first record?
A: 0.882 states/eV/atom